Compound: KTa2W
Source: the Alexandria database
Functional: GGA-PBE
Structure: optimized geometry

Distance to the lowest polymorph of the same formula: 1002.6 meV/atom
Space-group type: No. 47
Energy relative to the elements: 1.6217 eV/atom
Magnetization: 0.1 μB/f.u.

Lattice parameters (Å, degrees): 2.6960 5.5591 5.4485 90.00 90.00 90.00
Last column: nearest neighbours and their distance in Å.
Element x y z (fractional)
1 Ta 0.0000 0.0000 0.0000  2 Ta 2.70
2 W 0.5000 0.0000 0.5000  2 W 2.70
3 K 0.0000 0.5000 0.5000  2 K 2.70
4 Ta 0.5000 0.5000 0.0000  2 Ta 2.70

---

Compound: KTa2W
Source: the Alexandria database
Functional: GGA-PBE
Structure: optimized geometry

Distance to the lowest polymorph of the same formula: 243.1 meV/atom
Space-group type: No. 10
Energy relative to the elements: 0.8622 eV/atom
Magnetization: 0.0 μB/f.u.

Lattice parameters (Å, degrees): 4.3755 2.8617 8.1121 82.89 90.00 90.00
Last column: nearest neighbours and their distance in Å.
Element x y z (fractional)
1 Ta 0.0000 0.5403 0.4021  3 Ta 2.61-2.86, 2 W 2.69
2 W 0.5000 0.2500 0.2500  4 Ta 2.69, 2 W 2.86
3 K 0.5000 0.7500 0.7500  2 K 2.86
4 Ta 0.0000 0.9597 0.0979  3 Ta 2.61-2.86, 2 W 2.69

---

Compound: KTa2W
Source: the Alexandria database
Functional: GGA-PBE
Structure: optimized geometry

Distance to the lowest polymorph of the same formula: 732.1 meV/atom
Space-group type: No. 12
Energy relative to the elements: 1.3511 eV/atom
Magnetization: 0.0 μB/f.u.

Lattice parameters (Å, degrees): 5.8902 5.9063 2.7058 78.97 85.67 118.77
Last column: nearest neighbours and their distance in Å.
Element x y z (fractional)
1 W 0.0000 0.5000 0.5000  2 W 2.71, 4 Ta 3.00
2 K 0.5000 0.5000 0.0000  2 K 2.71, 4 Ta 3.00
3 Ta 0.0000 0.0000 0.0000  2 Ta 2.71, 2 K 3.00, 2 W 3.00
4 Ta 0.5000 0.0000 0.5000  2 Ta 2.71, 2 W 3.00, 2 K 3.00

---

no.,total energy (eV/atom)
1,-7.817
2,-8.577
3,-8.088